# PBE BaNa2Cr, relaxed
# polymorph energy (0 for the lowest one)	0.0000	eV per atom
# total magnetic moment	18.857	μB per cell
data_BaNa2Cr
_chemical_formula_sum 'Ba4 Na8 Cr4'
_cell_length_a 8.2680
_cell_length_b 8.2680
_cell_length_c 8.2680
_cell_angle_alpha 90.00
_cell_angle_beta 90.00
_cell_angle_gamma 90.00
_space_group_name_H-M_alt 'F m -3 m'
_space_group_IT_number 225
_space_group_name_Hall '-F 4 2 3'
loop_
_atom_site_label
_atom_site_type_symbol
_atom_site_fract_x
_atom_site_fract_y
_atom_site_fract_z
_atom_site_occupancy
Ba1 Ba 0.0000 0.0000 0.0000 1
Na1 Na 0.2500 0.2500 0.2500 1
Cr1 Cr 0.0000 0.0000 0.5000 1